# PBE LiTb2SmTe4, relaxed
# Electronic total energy   -4.894 eV per atom
# Raw formation energy   -1336 meV/atom
# Total magnetic moment   0.000 μB per atom
data_LiTb2SmTe4
_cell_length_a 7.585
_cell_length_b 4.353
_cell_length_c 7.595
_cell_angle_alpha 90.00
_cell_angle_beta 109.19
_cell_angle_gamma 90.00
_symmetry_space_group_name_H-M 'P 1 2/m 1'
_symmetry_Int_Tables_number 10
loop_
_symmetry_equiv_pos_as_xyz
'x,y,z'
'-x,-y,-z'
'-x,y,-z'
'x,-y,z'
loop_
_atom_site_label
_atom_site_fract_x
_atom_site_fract_y
_atom_site_fract_z
_atom_site_occupancy
Li1 0.000 0.000 0.000 1
Tb1 0.500 0.000 0.500 1
Tb2 0.500 0.500 0.000 1
Sm1 0.000 0.500 0.500 1
Te1 0.245 0.500 0.241 1
Te2 0.249 0.000 0.759 1


# PBE Ce2NpNbN5, relaxed
# Electronic total energy   -9.725 eV per atom
# Raw formation energy   -1224 meV/atom
# Total magnetic moment   0.531 μB per atom
data_Ce2NpNbN5
_cell_length_a 3.515
_cell_length_b 13.891
_cell_length_c 10.538
_cell_angle_alpha 90.00
_cell_angle_beta 90.00
_cell_angle_gamma 90.00
_symmetry_space_group_name_H-M 'C m c 21'
_symmetry_Int_Tables_number 36
loop_
_symmetry_equiv_pos_as_xyz
'x,y,z'
'-x,-y,z+1/2'
'-x,y,z'
'x,-y,z+1/2'
'x+1/2,y+1/2,z'
'-x+1/2,-y+1/2,z+1/2'
'-x+1/2,y+1/2,z'
'x+1/2,-y+1/2,z+1/2'
loop_
_atom_site_label
_atom_site_fract_x
_atom_site_fract_y
_atom_site_fract_z
_atom_site_occupancy
Ce1 0.000 0.105 0.000 1
Ce2 0.000 0.144 0.600 1
Np1 0.000 0.214 0.319 1
Nb1 0.000 0.480 0.773 1
N1 0.000 0.051 0.363 1
N2 0.000 0.275 0.961 1
N3 0.000 0.321 0.692 1
N4 0.000 0.376 0.321 1
N5 0.000 0.487 0.091 1


# PBE BaTl2ZnF6, relaxed
# Electronic total energy   -4.441 eV per atom
# Raw formation energy   -2525 meV/atom
# Total magnetic moment   0.000 μB per atom
data_BaTl2ZnF6
_cell_length_a 6.265
_cell_length_b 6.290
_cell_length_c 6.295
_cell_angle_alpha 64.39
_cell_angle_beta 64.38
_cell_angle_gamma 64.25
_symmetry_space_group_name_H-M 'P -1'
_symmetry_Int_Tables_number 2
loop_
_symmetry_equiv_pos_as_xyz
'x,y,z'
'-x,-y,-z'
loop_
_atom_site_label
_atom_site_fract_x
_atom_site_fract_y
_atom_site_fract_z
_atom_site_occupancy
Ba1 0.000 0.000 0.000 1
Tl1 0.268 0.270 0.271 1
Zn1 0.500 0.500 0.500 1
F1 0.205 0.349 0.691 1
F2 0.305 0.796 0.650 1
F3 0.351 0.691 0.205 1


# PBE BaZnSiPt6, relaxed
# Electronic total energy   -5.265 eV per atom
# Raw formation energy   -280 meV/atom
# Total magnetic moment   0.000 μB per atom
data_BaZnSiPt6
_cell_length_a 7.337
_cell_length_b 8.928
_cell_length_c 11.380
_cell_angle_alpha 90.00
_cell_angle_beta 90.00
_cell_angle_gamma 90.00
_symmetry_space_group_name_H-M 'I m m a'
_symmetry_Int_Tables_number 74
_symmetry_space_group_name_Hall '-I 2b 2'
loop_
_atom_site_label
_atom_site_fract_x
_atom_site_fract_y
_atom_site_fract_z
_atom_site_occupancy
Ba1 0.000 0.250 0.159 1
Zn1 0.250 0.250 0.750 1
Si1 0.000 0.000 0.500 1
Pt1 0.000 0.250 0.425 1
Pt2 0.000 0.250 0.894 1
Pt3 0.250 0.020 0.623 1


# PBE YInGe2Au, relaxed
# Electronic total energy   -4.089 eV per atom
# DFT formation energy   0.25 eV/atom
# Total magnetic moment   0.000 μB per atom
data_YInGe2Au
_cell_length_a 5.113
_cell_length_b 5.113
_cell_length_c 5.168
_cell_angle_alpha 90.00
_cell_angle_beta 90.00
_cell_angle_gamma 90.00
_symmetry_space_group_name_H-M 'P 4/m m m'
_symmetry_Int_Tables_number 123
_symmetry_space_group_name_Hall '-P 4 2'
loop_
_atom_site_label
_atom_site_fract_x
_atom_site_fract_y
_atom_site_fract_z
_atom_site_occupancy
Y1 0.000 0.000 0.000 1
In1 0.500 0.500 0.000 1
Ge1 0.000 0.500 0.500 1
Au1 0.500 0.500 0.500 1


# PBE Rb3PuBi2S6, relaxed
# Electronic total energy   -5.168 eV per atom
# Raw formation energy   -1022 meV/atom
# Total magnetic moment   0.417 μB per atom
data_Rb3PuBi2S6
_cell_length_a 7.274
_cell_length_b 12.600
_cell_length_c 8.047
_cell_angle_alpha 90.00
_cell_angle_beta 107.52
_cell_angle_gamma 90.00
_symmetry_space_group_name_H-M 'C 1 2/m 1'
_symmetry_Int_Tables_number 12
loop_
_symmetry_equiv_pos_as_xyz
'x,y,z'
'-x,-y,-z'
'-x,y,-z'
'x,-y,z'
'x+1/2,y+1/2,z'
'-x+1/2,-y+1/2,-z'
'-x+1/2,y+1/2,-z'
'x+1/2,-y+1/2,z'
loop_
_atom_site_label
_atom_site_fract_x
_atom_site_fract_y
_atom_site_fract_z
_atom_site_occupancy
Rb1 0.000 0.000 0.000 1
Rb2 0.000 0.331 0.000 1
Pu1 0.000 0.500 0.500 1
Bi1 0.000 0.166 0.500 1
S1 0.230 0.336 0.697 1
S2 0.237 0.000 0.698 1


# PBE Li2CdPb, relaxed
# Electronic total energy   -2.266 eV per atom
# DFT formation energy   -0.15 eV/atom
# Total magnetic moment   0.000 μB per atom
data_Li2CdPb
_cell_length_a 3.2963
_cell_length_b 3.2963
_cell_length_c 28.3201
_cell_angle_alpha 90.00
_cell_angle_beta 90.00
_cell_angle_gamma 120.00
_symmetry_space_group_name_H-M 'R 3 m'
_symmetry_Int_Tables_number 160
_symmetry_space_group_name_Hall 'R 3 -2"'
loop_
_atom_site_label
_atom_site_fract_x
_atom_site_fract_y
_atom_site_fract_z
_atom_site_occupancy
Li1 0.0000 0.0000 0.0000 1
Li2 0.0000 0.0000 0.1688 1
Cd1 0.0000 0.0000 0.5837 1
Pb1 0.0000 0.0000 0.4180 1


# PBE Pm4NiAu2, relaxed
# Electronic total energy   -4.964 eV per atom
# DFT formation energy   -0.49 eV/atom
# Total magnetic moment   0.000 μB per atom
data_Pm4NiAu2
_cell_length_a 14.047
_cell_length_b 4.702
_cell_length_c 6.032
_cell_angle_alpha 90.00
_cell_angle_beta 106.18
_cell_angle_gamma 90.00
_symmetry_space_group_name_H-M 'C 1 2/m 1'
_symmetry_Int_Tables_number 12
loop_
_symmetry_equiv_pos_as_xyz
'x,y,z'
'-x,-y,-z'
'-x,y,-z'
'x,-y,z'
'x+1/2,y+1/2,z'
'-x+1/2,-y+1/2,-z'
'-x+1/2,y+1/2,-z'
'x+1/2,-y+1/2,z'
loop_
_atom_site_label
_atom_site_fract_x
_atom_site_fract_y
_atom_site_fract_z
_atom_site_occupancy
Pm1 0.081 0.000 0.277 1
Pm2 0.149 0.500 0.796 1
Ni1 0.000 0.500 0.000 1
Au1 0.228 0.500 0.322 1


Copy entry 6 word for word.
# PBE Rb3PuBi2S6, relaxed
# Electronic total energy   -5.168 eV per atom
# Raw formation energy   -1022 meV/atom
# Total magnetic moment   0.417 μB per atom
data_Rb3PuBi2S6
_cell_length_a 7.274
_cell_length_b 12.600
_cell_length_c 8.047
_cell_angle_alpha 90.00
_cell_angle_beta 107.52
_cell_angle_gamma 90.00
_symmetry_space_group_name_H-M 'C 1 2/m 1'
_symmetry_Int_Tables_number 12
loop_
_symmetry_equiv_pos_as_xyz
'x,y,z'
'-x,-y,-z'
'-x,y,-z'
'x,-y,z'
'x+1/2,y+1/2,z'
'-x+1/2,-y+1/2,-z'
'-x+1/2,y+1/2,-z'
'x+1/2,-y+1/2,z'
loop_
_atom_site_label
_atom_site_fract_x
_atom_site_fract_y
_atom_site_fract_z
_atom_site_occupancy
Rb1 0.000 0.000 0.000 1
Rb2 0.000 0.331 0.000 1
Pu1 0.000 0.500 0.500 1
Bi1 0.000 0.166 0.500 1
S1 0.230 0.336 0.697 1
S2 0.237 0.000 0.698 1